# 1
Below is a relaxed structure of KBeMoOs2, with properties calculated at the PBE-GGA level.

Values from the calculation:
Density of states at the Fermi level ... 7.1 states/eV/f.u.
Electronic total energy ... -3.8449 eV per atom
Energy of formation from the pure elements ... 3778 meV per atom

Geometry as CIF:
```
data_KBeMoOs2
_space_group_name_H-M_alt 'P 4/m m m'
_space_group_IT_number 123
_space_group_name_Hall '-P 4 2'
_cell_length_a 4.549
_cell_length_b 4.549
_cell_length_c 4.490
_cell_angle_alpha 90.00
_cell_angle_beta 90.00
_cell_angle_gamma 90.00
loop_
_atom_site_label
_atom_site_type_symbol
_atom_site_fract_x
_atom_site_fract_y
_atom_site_fract_z
K1 K 0.000 0.000 0.000
Be1 Be 0.500 0.500 0.500
Mo1 Mo 0.000 0.000 0.500
Os1 Os 0.000 0.500 0.000
```

=====

# 2
Below is a relaxed structure of KBeMo2Pd, with properties calculated at the PBE-GGA level.

Values from the calculation:
Density of states at the Fermi level ... 6.2 states/eV/f.u.
Electronic total energy ... -4.8699 eV per atom
Energy of formation from the pure elements ... 1466 meV per atom

Geometry as CIF:
```
data_KBeMo2Pd
_space_group_name_H-M_alt 'P 4/m m m'
_space_group_IT_number 123
_space_group_name_Hall '-P 4 2'
_cell_length_a 4.261
_cell_length_b 4.261
_cell_length_c 5.345
_cell_angle_alpha 90.00
_cell_angle_beta 90.00
_cell_angle_gamma 90.00
loop_
_atom_site_label
_atom_site_type_symbol
_atom_site_fract_x
_atom_site_fract_y
_atom_site_fract_z
K1 K 0.000 0.000 0.000
Be1 Be 0.000 0.000 0.500
Mo1 Mo 0.000 0.500 0.500
Pd1 Pd 0.500 0.500 0.000
```

=====

# 3
Below is a relaxed structure of KBe2MoRh, with properties calculated at the PBE-GGA level.

Values from the calculation:
Density of states at the Fermi level ... 4.2 states/eV/f.u.
Electronic total energy ... -2.8257 eV per atom
Energy of formation from the pure elements ... 2521 meV per atom

Geometry as CIF:
```
data_KBe2MoRh
_space_group_name_H-M_alt 'P 4/m m m'
_space_group_IT_number 123
_space_group_name_Hall '-P 4 2'
_cell_length_a 4.366
_cell_length_b 4.366
_cell_length_c 4.393
_cell_angle_alpha 90.00
_cell_angle_beta 90.00
_cell_angle_gamma 90.00
loop_
_atom_site_label
_atom_site_type_symbol
_atom_site_fract_x
_atom_site_fract_y
_atom_site_fract_z
K1 K 0.000 0.000 0.000
Be1 Be 0.000 0.500 0.000
Mo1 Mo 0.500 0.500 0.500
Rh1 Rh 0.000 0.000 0.500
```

=====

# 4
Below is a relaxed structure of K2BeTeMo, with properties calculated at the PBE-GGA level.

Values from the calculation:
Density of states at the Fermi level ... 2.0 states/eV/f.u.
Uncorrected formation energy ... 997 meV per atom
Electronic total energy ... -2.9821 eV per atom

Geometry as CIF:
```
data_K2BeTeMo
_space_group_name_H-M_alt 'P 4/m m m'
_space_group_IT_number 123
_space_group_name_Hall '-P 4 2'
_cell_length_a 6.696
_cell_length_b 6.696
_cell_length_c 5.329
_cell_angle_alpha 90.00
_cell_angle_beta 90.00
_cell_angle_gamma 90.00
loop_
_atom_site_label
_atom_site_type_symbol
_atom_site_fract_x
_atom_site_fract_y
_atom_site_fract_z
K1 K 0.000 0.500 0.000
Be1 Be 0.000 0.000 0.500
Te1 Te 0.500 0.500 0.000
Mo1 Mo 0.500 0.500 0.500
```

=====

# 5
Below is a relaxed structure of KTiBeMo2, with properties calculated at the PBE-GGA level.

Values from the calculation:
Density of states at the Fermi level ... 3.8 states/eV/f.u.
Electronic total energy ... -4.0787 eV per atom
Energy of formation from the pure elements ... 2797 meV per atom

Geometry as CIF:
```
data_KTiBeMo2
_space_group_name_H-M_alt 'P 4/m m m'
_space_group_IT_number 123
_space_group_name_Hall '-P 4 2'
_cell_length_a 4.490
_cell_length_b 4.490
_cell_length_c 4.323
_cell_angle_alpha 90.00
_cell_angle_beta 90.00
_cell_angle_gamma 90.00
loop_
_atom_site_label
_atom_site_type_symbol
_atom_site_fract_x
_atom_site_fract_y
_atom_site_fract_z
K1 K 0.000 0.000 0.000
Ti1 Ti 0.000 0.000 0.500
Be1 Be 0.500 0.500 0.500
Mo1 Mo 0.000 0.500 0.000
```

=====

# 6
Below is a relaxed structure of KBeTl2Mo, with properties calculated at the PBE-GGA level.

Values from the calculation:
Density of states at the Fermi level ... 7.5 states/eV/f.u.
Electronic total energy ... -1.7992 eV per atom
Energy of formation from the pure elements ... 2278 meV per atom

Geometry as CIF:
```
data_KBeTl2Mo
_space_group_name_H-M_alt 'P 4/m m m'
_space_group_IT_number 123
_space_group_name_Hall '-P 4 2'
_cell_length_a 5.620
_cell_length_b 5.620
_cell_length_c 4.795
_cell_angle_alpha 90.00
_cell_angle_beta 90.00
_cell_angle_gamma 90.00
loop_
_atom_site_label
_atom_site_type_symbol
_atom_site_fract_x
_atom_site_fract_y
_atom_site_fract_z
K1 K 0.000 0.000 0.000
Be1 Be 0.000 0.000 0.500
Tl1 Tl 0.000 0.500 0.000
Mo1 Mo 0.500 0.500 0.500
```

=====

# 7
Below is a relaxed structure of K2BeVMo, with properties calculated at the PBE-GGA level.

Values from the calculation:
Density of states at the Fermi level ... 6.3 states/eV/f.u.
Electronic total energy ... -3.3743 eV per atom
Energy of formation from the pure elements ... 1800 meV per atom

Geometry as CIF:
```
data_K2BeVMo
_space_group_name_H-M_alt 'P 4/m m m'
_space_group_IT_number 123
_space_group_name_Hall '-P 4 2'
_cell_length_a 6.566
_cell_length_b 6.566
_cell_length_c 4.303
_cell_angle_alpha 90.00
_cell_angle_beta 90.00
_cell_angle_gamma 90.00
loop_
_atom_site_label
_atom_site_type_symbol
_atom_site_fract_x
_atom_site_fract_y
_atom_site_fract_z
K1 K 0.000 0.500 0.000
Be1 Be 0.000 0.000 0.500
V1 V 0.500 0.500 0.500
Mo1 Mo 0.500 0.500 0.000
```

=====

# 8
Below is a relaxed structure of KYBeMo2, with properties calculated at the PBE-GGA level.

Values from the calculation:
Density of states at the Fermi level ... 6.4 states/eV/f.u.
Electronic total energy ... -4.2295 eV per atom
Energy of formation from the pure elements ... 2361 meV per atom

Geometry as CIF:
```
data_KYBeMo2
_space_group_name_H-M_alt 'P 4/m m m'
_space_group_IT_number 123
_space_group_name_Hall '-P 4 2'
_cell_length_a 4.681
_cell_length_b 4.681
_cell_length_c 4.798
_cell_angle_alpha 90.00
_cell_angle_beta 90.00
_cell_angle_gamma 90.00
loop_
_atom_site_label
_atom_site_type_symbol
_atom_site_fract_x
_atom_site_fract_y
_atom_site_fract_z
K1 K 0.000 0.000 0.000
Y1 Y 0.500 0.500 0.500
Be1 Be 0.000 0.000 0.500
Mo1 Mo 0.000 0.500 0.000
```

=====

# 9
Below is a relaxed structure of K2BeN, with properties calculated at the PBE-GGA level.

Values from the calculation:
Energy relative to the lowest polymorph listed for this composition ... 0 meV per atom
Density of states at the Fermi level ... 0.9 states/eV/f.u.
Uncorrected formation energy ... -184 meV per atom
Electronic total energy ... -3.7460 eV per atom

Geometry as CIF:
```
data_K2BeN
_space_group_name_H-M_alt 'I -4 2 d'
_space_group_IT_number 122
_space_group_name_Hall 'I -4 2bw'
_cell_length_a 11.778
_cell_length_b 11.778
_cell_length_c 3.112
_cell_angle_alpha 90.00
_cell_angle_beta 90.00
_cell_angle_gamma 90.00
loop_
_atom_site_label
_atom_site_type_symbol
_atom_site_fract_x
_atom_site_fract_y
_atom_site_fract_z
K1 K 0.040 0.250 0.125
Be1 Be 0.000 0.000 0.500
N1 N 0.000 0.000 0.000
```

=====

# 10
Below is a relaxed structure of K3BeN, with properties calculated at the PBE-GGA level.

Values from the calculation:
Energy relative to the lowest polymorph listed for this composition ... 0 meV per atom
Density of states at the Fermi level ... 5.7 states/eV/f.u.
Uncorrected formation energy ... 923 meV per atom
Electronic total energy ... -2.1461 eV per atom

Geometry as CIF:
```
data_K3BeN
_space_group_name_H-M_alt 'P m -3 m'
_space_group_IT_number 221
_space_group_name_Hall '-P 4 2 3'
_cell_length_a 5.555
_cell_length_b 5.555
_cell_length_c 5.555
_cell_angle_alpha 90.00
_cell_angle_beta 90.00
_cell_angle_gamma 90.00
loop_
_atom_site_label
_atom_site_type_symbol
_atom_site_fract_x
_atom_site_fract_y
_atom_site_fract_z
K1 K 0.000 0.000 0.500
Be1 Be 0.500 0.500 0.500
N1 N 0.000 0.000 0.000
```

=====

# 11
Below is a relaxed structure of KBeN3, with properties calculated at the PBE-GGA level.

Values from the calculation:
Density of states at the Fermi level ... 1.4 states/eV/f.u.
Uncorrected formation energy ... 3419 meV per atom
Electronic total energy ... -2.5409 eV per atom

Geometry as CIF:
```
data_KBeN3
_space_group_name_H-M_alt 'P m -3 m'
_space_group_IT_number 221
_space_group_name_Hall '-P 4 2 3'
_cell_length_a 4.646
_cell_length_b 4.646
_cell_length_c 4.646
_cell_angle_alpha 90.00
_cell_angle_beta 90.00
_cell_angle_gamma 90.00
loop_
_atom_site_label
_atom_site_type_symbol
_atom_site_fract_x
_atom_site_fract_y
_atom_site_fract_z
K1 K 0.000 0.000 0.000
Be1 Be 0.500 0.500 0.500
N1 N 0.000 0.000 0.500
```

=====

# 12
Below is a relaxed structure of KBe3N, with properties calculated at the PBE-GGA level.

Values from the calculation:
Energy relative to the lowest polymorph listed for this composition ... 1886 meV per atom
Density of states at the Fermi level ... 7.4 states/eV/f.u.
Uncorrected formation energy ... 3055 meV per atom
Electronic total energy ... -1.0658 eV per atom

Geometry as CIF:
```
data_KBe3N
_space_group_name_H-M_alt 'P m -3 m'
_space_group_IT_number 221
_space_group_name_Hall '-P 4 2 3'
_cell_length_a 6.557
_cell_length_b 6.557
_cell_length_c 6.557
_cell_angle_alpha 90.00
_cell_angle_beta 90.00
_cell_angle_gamma 90.00
loop_
_atom_site_label
_atom_site_type_symbol
_atom_site_fract_x
_atom_site_fract_y
_atom_site_fract_z
K1 K 0.000 0.000 0.000
Be1 Be 0.000 0.000 0.500
N1 N 0.500 0.500 0.500
```